Entry 1:
VASP calculation (PBE-GGA) on crystalline Pm5TmTe8 at its relaxed geometry.

- Calculated density: 7530 kg/m3
- Magnetic moment: 0.000 μB/atom
- Formation energy without anion corrections: -1854 kJ/mol of formula units
- Space-group type: I-4 (82)

a b c (Å): 8.186 8.186 8.186
angles (deg): 109.76 109.76 108.89
Atoms (fractional coordinates):
Pm 0.000 0.000 0.000
Pm 0.258 0.627 0.132
Pm 0.373 0.506 0.631
Pm 0.494 0.125 0.868
Pm 0.875 0.742 0.369
Tm 0.750 0.250 0.500
Te 0.116 0.228 0.746
Te 0.125 0.725 0.751
Te 0.275 0.026 0.400
Te 0.482 0.370 0.254
Te 0.626 0.875 0.600
Te 0.630 0.884 0.112
Te 0.772 0.518 0.888
Te 0.974 0.374 0.249

---

Entry 2:
VASP calculation (PBE-GGA) on crystalline Pm2TmTe4 at its relaxed geometry.

- Calculated density: 6803 kg/m3
- Magnetic moment: 0.000 μB/atom
- Offset from the most stable computed form: 0.045 eV/atom
- Formation energy without anion corrections: -905 kJ/mol of formula units
- Space-group type: Cmcm (63)

a b c (Å): 7.629 7.629 15.198
angles (deg): 90.00 90.00 147.65
Atoms (fractional coordinates):
Pm 0.132 0.868 0.571
Pm 0.132 0.868 0.929
Pm 0.868 0.132 0.071
Pm 0.868 0.132 0.429
Tm 0.371 0.629 0.750
Tm 0.629 0.371 0.250
Te 0.023 0.977 0.750
Te 0.217 0.783 0.126
Te 0.217 0.783 0.374
Te 0.500 0.500 0.000
Te 0.500 0.500 0.500
Te 0.783 0.217 0.626
Te 0.783 0.217 0.874
Te 0.977 0.023 0.250

---

Entry 3:
VASP calculation (PBE-GGA) on crystalline PmTm5Te6 at its relaxed geometry.

- Calculated density: 8471 kg/m3
- Magnetic moment: 0.000 μB/atom
- Formation energy without anion corrections: -1402 kJ/mol of formula units
- Space-group type: C2/m (12)

a b c (Å): 7.490 7.490 7.470
angles (deg): 99.50 99.50 119.64
Atoms (fractional coordinates):
Pm 0.000 0.000 0.000
Tm 0.153 0.847 0.500
Tm 0.333 0.667 0.000
Tm 0.500 0.500 0.500
Tm 0.667 0.333 0.000
Tm 0.847 0.153 0.500
Te 0.086 0.432 0.259
Te 0.264 0.264 0.754
Te 0.432 0.086 0.259
Te 0.568 0.914 0.741
Te 0.736 0.736 0.246
Te 0.914 0.568 0.741

---

Entry 4:
VASP calculation (PBE-GGA) on crystalline PmTm6Te8 at its relaxed geometry.

- Calculated density: 8036 kg/m3
- Magnetic moment: 0.000 μB/atom
- Offset from the most stable computed form: 0.138 eV/atom
- Formation energy without anion corrections: -1674 kJ/mol of formula units
- Space-group type: R-3 (148)

a b c (Å): 8.104 8.104 8.104
angles (deg): 69.41 69.41 69.41
Atoms (fractional coordinates):
Pm 0.000 0.000 0.000
Tm 0.076 0.451 0.693
Tm 0.307 0.924 0.549
Tm 0.451 0.693 0.076
Tm 0.549 0.307 0.924
Tm 0.693 0.076 0.451
Tm 0.924 0.549 0.307
Te 0.104 0.809 0.373
Te 0.191 0.627 0.896
Te 0.324 0.324 0.324
Te 0.373 0.104 0.809
Te 0.627 0.896 0.191
Te 0.676 0.676 0.676
Te 0.809 0.373 0.104
Te 0.896 0.191 0.627